VASP calculation (meta-GGA SCAN) on a PBEsol-optimized structure of CdPb2Cl.

Calculated values
formation energy without anion corrections	-24.6	kJ/mol of atoms

Cell: 5.501 5.501 3.365 Å, 90.00 90.00 90.09°
Fractional coordinates of all 4 atoms:
Cd (0.000, 0.000, 0.000)
Pb (0.000, 0.500, 0.500)
Pb (0.500, 0.000, 0.500)
Cl (0.500, 0.500, 0.000)